Material: AsOs2Se
Method: DFT, PBE
State: optimized geometry

The uncorrected formation energy is 1.037 eV/atom.

Cell lengths 4.496, 4.496, 4.496 Å; angles 60.00, 60.00, 60.00 degrees
Positions (direct):
As  0.000  0.000  0.000
Os  0.500  0.500  0.500
Os  0.750  0.750  0.750
Se  0.250  0.250  0.250

Material: BaAl2VMo
Method: DFT, PBE
State: optimized geometry

As for the energy of formation: 1276 kJ/mol of formula units.

Cell lengths 5.284, 5.284, 4.928 Å; angles 90.00, 90.00, 90.00 degrees
Positions (direct):
Ba  0.000  0.000  0.000
Al  0.000  0.500  0.000
Al  0.500  0.000  0.000
V  0.000  0.000  0.500
Mo  0.500  0.500  0.500

Material: Pr3YSe4
Method: DFT, PBE
State: optimized geometry

The uncorrected formation energy is -1.820 eV/atom.

Cell lengths 7.351, 7.351, 4.163 Å; angles 90.00, 90.00, 108.76 degrees
Positions (direct):
Pr  0.000  0.000  0.000
Pr  0.000  0.500  0.500
Pr  0.500  0.000  0.500
Y  0.500  0.500  0.000
Se  0.256  0.744  0.000
Se  0.261  0.261  0.500
Se  0.739  0.739  0.500
Se  0.744  0.256  0.000

Respective DOS(E_F) values: 1.1464, 1.7451, 0.6094 states/eV per atom.